Below is an optimized crystal structure of Rb2Pb3F8, with properties calculated at the PBE-GGA level.

Output
The crystal system is monoclinic. As for the raw formation energy: -2.463 eV per atom. The spin magnetization comes out at 0.0 μB/cell.

The structure in extended XYZ format:
```
13
Lattice="-0.712 6.469 -0.236 -1.955 -0.490 -7.541 -4.741 -2.822 5.453" Properties=species:S:1:pos:R:3 pbc="T T T"
Rb -3.484 0.511 0.870
Rb -3.924 2.647 -3.194
Pb -0.356 3.234 -0.118
Pb -0.510 -0.128 -1.965
Pb -1.446 -0.362 -5.576
F -2.775 5.184 -3.657
F -4.633 -2.027 1.333
F -1.783 5.299 0.118
F -5.625 -2.141 -2.442
F -5.464 1.377 -0.978
F -4.348 1.657 3.325
F -3.060 1.500 -5.649
F -1.944 1.780 -1.346
```



Below is an optimized crystal structure of RbPb2F, with properties calculated at the PBE-GGA level.

Output
The crystal system is cubic. As for the raw formation energy: -0.182 eV per atom. The spin magnetization comes out at 0.0 μB/cell.

The structure in extended XYZ format:
```
4
Lattice="0.000 3.933 3.933 3.933 0.000 3.933 3.933 3.933 0.000" Properties=species:S:1:pos:R:3 pbc="T T T"
Pb 1.966 1.966 1.966
Pb 5.899 5.899 5.899
Rb 3.933 3.933 3.933
F 0.000 0.000 0.000
```



Below is an optimized crystal structure of RbPb2F, with properties calculated at the PBE-GGA level.

Output
The crystal system is tetragonal. As for the raw formation energy: -0.666 eV per atom. The spin magnetization comes out at 0.0 μB/cell.

The structure in extended XYZ format:
```
8
Lattice="6.228 0.000 0.000 0.000 6.228 0.000 3.114 3.114 8.372" Properties=species:S:1:pos:R:3 pbc="T T T"
Pb 3.113 1.557 2.093
Pb 3.115 4.671 2.093
Pb 4.671 6.228 6.279
Pb 7.785 6.227 6.279
Rb 0.000 0.000 0.000
Rb 6.228 3.114 4.186
F 3.114 3.114 0.000
F 3.114 6.228 4.186
```



Below is an optimized crystal structure of Rb2PbF5, with properties calculated at the PBE-GGA level.

Output
The crystal system is triclinic. As for the raw formation energy: -2.371 eV per atom. The spin magnetization comes out at 1.0 μB/cell.

The structure in extended XYZ format:
```
8
Lattice="7.980 0.027 -0.082 -3.914 3.277 -2.017 -0.100 0.750 6.945" Properties=species:S:1:pos:R:3 pbc="T T T"
Rb -0.010 2.454 3.192
Rb 3.982 1.846 1.279
Pb 3.956 3.987 4.716
F 2.546 3.620 3.028
F -2.578 3.641 3.124
F 6.487 0.561 1.374
F 1.489 0.539 1.436
F 3.941 1.989 5.449
```



Below is an optimized crystal structure of RbPb4F8, with properties calculated at the PBE-GGA level.

Output
The crystal system is cubic. As for the raw formation energy: -2.169 eV per atom. The spin magnetization comes out at 0.0 μB/cell.

The structure in extended XYZ format:
```
13
Lattice="-5.716 -3.119 -4.442 1.716 -5.615 -5.259 -2.355 -7.419 1.245" Properties=species:S:1:pos:R:3 pbc="T T T"
Rb -4.766 -12.115 -6.342
Pb -5.256 -7.614 -5.401
Pb -1.513 -8.871 -5.812
Pb -3.563 -9.780 -2.536
Pb -2.377 -6.043 -3.164
F -3.188 -3.682 -3.016
F -0.308 -4.649 -3.333
F -1.885 -5.348 -0.813
F -0.973 -2.474 -1.295
F -1.450 -8.462 -3.254
F -4.560 -7.417 -2.912
F -2.857 -6.662 -5.634
F -3.842 -9.767 -5.113
```



Below is an optimized crystal structure of RbPbF3, with properties calculated at the PBE-GGA level.

Output
The crystal system is trigonal. As for the raw formation energy: -2.530 eV per atom. The spin magnetization comes out at 0.0 μB/cell.

The structure in extended XYZ format:
```
10
Lattice="-5.076 2.128 3.812 -5.504 -3.788 0.436 -1.263 -3.189 5.750" Properties=species:S:1:pos:R:3 pbc="T T T"
Pb -11.767 -4.818 9.933
Pb -5.846 -2.393 4.935
Rb -2.727 -1.116 2.302
Rb -8.648 -3.541 7.300
F -6.170 -2.779 2.435
F -5.237 0.083 4.928
F -3.532 -3.420 5.248
F -5.928 -2.336 7.332
F -8.117 -1.632 5.081
F -6.816 -4.573 5.196
```



Below is an optimized crystal structure of Rb2RePbF6, with properties calculated at the PBE-GGA level.

Output
The crystal system is cubic. As for the raw formation energy: -1.903 eV per atom. The spin magnetization comes out at 1.0 μB/cell.

The structure in extended XYZ format:
```
10
Lattice="-5.122 -3.936 0.766 3.921 -5.176 -0.382 -0.007 -4.443 4.749" Properties=species:S:1:pos:R:3 pbc="T T T"
Pb 0.000 0.000 0.000
Re -0.600 -4.556 0.192
Rb -2.865 -6.468 2.853
Rb 1.657 -7.088 2.280
F -0.326 -4.504 2.296
F -0.881 -9.051 2.837
F -0.323 -2.453 0.103
F -0.878 -6.660 0.281
F -2.688 -4.270 0.457
F 1.487 -4.843 -0.073
```



Below is an optimized crystal structure of Rb2RhPbF6, with properties calculated at the PBE-GGA level.

Output
The crystal system is tetragonal. As for the raw formation energy: -2.142 eV per atom. The spin magnetization comes out at 1.0 μB/cell.

The structure in extended XYZ format:
```
10
Lattice="-0.416 5.751 2.665 -3.404 2.050 -4.956 -5.958 2.573 1.087" Properties=species:S:1:pos:R:3 pbc="T T T"
Pb 0.000 0.000 0.000
Rh -1.910 3.900 -1.145
Rb -4.142 6.112 1.303
Rb -5.636 4.262 -2.507
F -3.946 3.233 -0.023
F -5.833 7.141 -1.181
F -1.028 2.099 -0.616
F -2.793 5.702 -1.675
F -1.220 4.755 0.614
F -2.600 3.046 -2.905
```